[1]
## LaCdTe2 (PBE)

Data for a relaxed LaCdTe2 crystal.

a = 6.3252 Å, b = 6.4467 Å, c = 7.9927 Å
α = 108.67°, β = 96.86°, γ = 99.77°
Last column: nearest neighbours and their distance in Å.
Space group P-1 (No. 2)
Symmetry-distinct sites (fractional):
La 0.1835 0.3443 0.2546 (multiplicity 2)  6 Te 3.22-3.40, 1 Cd 3.48
Cd 0.3216 0.5364 0.9129 (multiplicity 2)  1 Cd 2.70, 3 Te 2.82-2.98
Te 0.0836 0.8073 0.1705 (multiplicity 2)  2 Cd 2.94-2.98, 1 La 3.24
Te 0.3159 0.7332 0.6447 (multiplicity 2)  1 Cd 2.82

Results
- Energy relative to the elements, uncorrected: -4.02 eV/f.u.

[2]
## Sb2Pd2Pb (PBE)

Data for a relaxed Sb2Pd2Pb crystal.

a = 5.8882 Å, b = 6.4553 Å, c = 7.3140 Å
α = 82.31°, β = 70.10°, γ = 63.74°
Last column: nearest neighbours and their distance in Å.
Space group P-1 (No. 2)
Symmetry-distinct sites (fractional):
Sb 0.0313 0.4253 0.2538 (multiplicity 2)  4 Pd 2.74-2.76
Sb 0.3729 0.7575 0.7443 (multiplicity 2)  4 Pd 2.75-2.85
Pd 0.1079 0.1709 0.9463 (multiplicity 2)  4 Sb 2.74-2.85, 2 Pd 2.80-2.90, 1 Pb 3.03
Pd 0.2182 0.1612 0.5428 (multiplicity 2)  4 Sb 2.75-2.80, 2 Pd 2.80-2.93, 1 Pb 3.00
Pb 0.3370 0.8298 0.2356 (multiplicity 2)  5 Pd 3.00-3.32

Results
- Energy relative to the elements, uncorrected: -1.26 eV/f.u.
- Excess energy over the best structure of this formula in the dataset: 0 meV per atom

[3]
## Tm2GaCu2 (PBE)

Data for a relaxed Tm2GaCu2 crystal.

a = 10.2672 Å, b = 4.1819 Å, c = 10.2742 Å
α = 90.00°, β = 117.18°, γ = 90.00°
Last column: nearest neighbours and their distance in Å.
Space group C2/m (No. 12)
Symmetry-distinct sites (fractional):
Tm 0.0137 0.0000 0.3380 (multiplicity 4)  7 Cu 2.94-3.24, 4 Ga 2.98-3.12
Tm 0.1931 0.0000 0.1082 (multiplicity 4)  6 Cu 2.95-3.02, 2 Ga 3.13
Ga 0.2251 0.5000 0.3477 (multiplicity 4)  4 Cu 2.45-2.74
Cu 0.0167 0.5000 0.8862 (multiplicity 4)  1 Cu 2.51, 1 Ga 2.55
Cu 0.1385 0.5000 0.5632 (multiplicity 4)  3 Ga 2.45-2.74, 1 Cu 2.53

Results
- E_form: -388 meV/atom

[4]
## KFe2Ni (PBE)

Data for a relaxed KFe2Ni crystal.

a = 2.6870 Å, b = 2.6870 Å, c = 29.4984 Å
α = 90.00°, β = 90.00°, γ = 120.00°
Last column: nearest neighbours and their distance in Å.
Space group R-3m (No. 166, hexagonal axes)
Symmetry-distinct sites (fractional):
K 0.0000 0.0000 0.0000 (multiplicity 3)  6 K 2.69
Fe 0.0000 0.0000 0.2337 (multiplicity 6)  3 Ni 2.51, 6 Fe 2.69
Ni 0.0000 0.0000 0.5000 (multiplicity 3)  6 Fe 2.51, 6 Ni 2.69

Results
- E_form: 798 meV/atom
- Excess energy over the best structure of this formula in the dataset: 215 meV per atom

Q: Which calculated total energy values were calculated for the entries above? A: -32.29 -47.20 -88.41 -61.83, in eV/cell.